# PBE with a Hubbard U NiIO2, optimized geometry
data_NiIO2
_symmetry_space_group_name_H-M 'R -3 m'
_symmetry_Int_Tables_number 166
_symmetry_space_group_name_Hall '-R 3 2"'
_cell_length_a 3.9213
_cell_length_b 3.9213
_cell_length_c 15.3844
_cell_angle_alpha 90.00
_cell_angle_beta 90.00
_cell_angle_gamma 120.00
loop_
_atom_site_label
_atom_site_fract_x
_atom_site_fract_y
_atom_site_fract_z
Ni1 0.0000 0.0000 0.0000
I1 0.0000 0.0000 0.5000
O1 0.0000 0.0000 0.1227
# Offset from the most stable computed form   2.925 eV/f.u.
# M_tot   2.957 μB/cell
# Calculated total energy   -3.2735 eV/atom